Entry 1:
ZrVP2O (GGA+U, optimized geometry); calculated total energy = -6.565 eV/atom; SG = P4/mmm (123); polymorph energy (0 for the lowest one) = 27.3 kJ per mole of atoms
1.0
5.1797 0.0000 0.0000
0.0000 5.1797 0.0000
0.0000 0.0000 3.9727
Zr V P O
1 1 2 1
Direct
0.0000 0.0000 0.0000
0.5000 0.5000 0.5000
0.0000 0.5000 0.0000
0.5000 0.0000 0.0000
0.0000 0.0000 0.5000


Entry 2:
Mg2BeWO6 (GGA+U, optimized geometry); calculated total energy = -6.417 eV/atom; SG = P4mm (99)
1.0
5.0005 0.0000 0.0000
0.0000 5.0005 0.0000
0.0000 0.0000 4.6858
Mg Be W O
2 1 1 6
Direct
0.0000 0.5000 0.0000
0.5000 0.0000 0.0000
0.0000 0.0000 0.5950
0.5000 0.5000 0.6232
0.0000 0.0000 0.2688
0.2461 0.2461 0.7568
0.2461 0.7539 0.7568
0.5000 0.5000 0.2353
0.7539 0.2461 0.7568
0.7539 0.7539 0.7568